A plane-wave DFT calculation with PBE was carried out for a relaxed structure of Zn2Cu2Ni.

Properties
Total moment in μB/f.u.: 0.000
Density of states at the Fermi level in states/eV per atom: 0.557
Energy above the lowest structure with this stoichiometry in meV/atom: 86.5
E_form in kJ/mol of formula units: 14.0
Calculated total energy in eV for the cell shown: -32.75
Symmetry: Ibam

The structure in POSCAR format:
```
Zn2Cu2Ni
1.0
-2.3904 5.7780 2.3810
2.3904 -5.7780 2.3810
2.3904 5.7780 -2.3810
Zn Cu Ni
4 4 2
Cartesian
0.6746 2.1173 0.0000
3.0650 3.6607 0.0000
-0.6746 2.1173 2.3810
1.7159 3.6607 2.3810
2.9451 1.1213 0.0000
0.5547 4.6567 0.0000
1.8357 1.1213 2.3810
-0.5547 4.6567 2.3810
0.0000 0.0000 1.1905
0.0000 0.0000 3.5714
```